# 1
A geometry-optimized Ba2NdF8 structure, computed with GGA-PBE.

a = 4.246 Å, b = 4.507 Å, c = 9.947 Å
α = 104.54°, β = 102.32°, γ = 90.00°
Site moments in Bohr magnetons follow the coordinates.
Atoms (fractional coordinates):
F: 0.045 0.235 0.090  0.07
F: 0.248 0.248 0.496  0.04
F: 0.567 0.630 0.135  0.18
F: 0.433 0.370 0.865  0.18
F: 0.955 0.765 0.910  0.07
F: 0.632 0.157 0.264  0.22
F: 0.368 0.843 0.736  0.22
F: 0.752 0.752 0.504  0.04
Nd: 0.500 0.000 0.000  -0.01
Ba: 0.831 0.345 0.663  0.00
Ba: 0.169 0.655 0.337  0.00

Calculated values
Raw formation energy, eV/atom: -3.541
N(E_F), states/eV/atom: 0.734


# 2
A geometry-optimized BaNdF5 structure, computed with GGA-PBE.

a = 4.529 Å, b = 6.115 Å, c = 8.681 Å
α = 89.23°, β = 74.88°, γ = 87.04°
Atoms (fractional coordinates):
Ba: 0.324 0.250 0.352
Ba: 0.676 0.750 0.648
F: 0.734 0.099 0.076
F: 0.380 0.750 0.241
F: 0.620 0.250 0.759
F: 0.190 0.401 0.076
F: 0.266 0.901 0.924
F: 0.803 0.507 0.374
F: 0.197 0.493 0.626
F: 0.810 0.599 0.924
F: 0.824 0.993 0.374
F: 0.176 0.007 0.626
Nd: 0.075 0.250 0.850
Nd: 0.925 0.750 0.150

Calculated values
Raw formation energy, eV/atom: -4.021
N(E_F), states/eV/atom: 0.000


# 3
A geometry-optimized BaNdS2F structure, computed with GGA-PBE.

a = 4.175 Å, b = 4.175 Å, c = 14.770 Å
α = 90.00°, β = 90.00°, γ = 90.00°
Atoms (fractional coordinates):
F: 0.000 0.000 0.500
F: 0.500 0.500 0.500
Ba: 0.500 0.000 0.611
Ba: 0.000 0.500 0.389
S: 0.500 0.000 0.292
S: 0.000 0.500 0.091
S: 0.500 0.000 0.909
S: 0.000 0.500 0.708
Nd: 0.000 0.500 0.882
Nd: 0.500 0.000 0.118

Calculated values
Raw formation energy, eV/atom: -2.544
N(E_F), states/eV/atom: 0.029


# 4
A geometry-optimized BaNdSe2F structure, computed with GGA-PBE.

a = 4.309 Å, b = 4.309 Å, c = 15.221 Å
α = 90.00°, β = 90.00°, γ = 90.00°
Atoms (fractional coordinates):
Ba: 0.000 0.500 0.396
Ba: 0.500 0.000 0.604
Nd: 0.000 0.500 0.881
Nd: 0.500 0.000 0.119
Se: 0.500 0.000 0.909
Se: 0.000 0.500 0.091
Se: 0.500 0.000 0.297
Se: 0.000 0.500 0.703
F: 0.000 0.000 0.500
F: 0.500 0.500 0.500

Calculated values
Raw formation energy, eV/atom: -2.468
N(E_F), states/eV/atom: 0.281


# 5
A geometry-optimized Ba2NdTlF8 structure, computed with GGA-PBE.

a = 6.110 Å, b = 6.110 Å, c = 7.577 Å
α = 113.78°, β = 113.78°, γ = 90.00°
Atoms (fractional coordinates):
F: 0.122 0.083 0.723
F: 0.917 0.878 0.277
F: 0.361 0.878 0.277
F: 0.361 0.400 0.277
F: 0.917 0.400 0.277
F: 0.600 0.639 0.723
F: 0.600 0.083 0.723
F: 0.122 0.639 0.723
Tl: 0.500 0.500 0.000
Nd: 0.250 0.750 0.500
Ba: 0.750 0.250 0.500
Ba: 0.000 0.000 0.000

Calculated values
Raw formation energy, eV/atom: -3.593
N(E_F), states/eV/atom: 0.000


- Which of these has the highest raw formation energy?
  BaNdSe2F